Entry 1:
This record from Alexandria via LeMat-Bulk describes crystalline Co2SiSb at its relaxed geometry. The functional is GGA-PBEsol.

Geometry as POSCAR:
```
Co2SiSb
1.0
2.8747 0.0000 0.0000
0.0000 2.8747 0.0000
0.0000 0.0000 6.3872
Co Sb Si
2 1 1
Cartesian
0.0000 0.0000 4.4619 Co
0.0000 0.0000 1.9253 Co
1.4374 1.4374 0.0000 Sb
1.4374 1.4374 3.1936 Si
```

Calculated values
raw total energy: -6.537 eV/atom
Fermi-level density of states: 3.76 states/eV/cell
spin magnetization: 0.27 μB per formula unit
polymorph energy (0 for the lowest one): 25 meV/atom
uncorrected formation energy: -0.09 eV/atom

***

Entry 2:
This record from Alexandria via LeMat-Bulk describes crystalline Co2Si2Sb at its relaxed geometry. The functional is GGA-PBEsol.

Geometry as POSCAR:
```
Co2Si2Sb
1.0
2.7083 0.0000 0.0000
0.0000 7.0022 0.0000
0.0000 0.0000 7.0022
Si Co Sb
4 4 2
Cartesian
1.3541 2.5214 0.9797 Si
1.3541 6.0225 2.5214 Si
1.3541 0.9797 4.4808 Si
1.3541 4.4808 6.0225 Si
0.0000 6.0013 4.5021 Co
0.0000 2.5002 6.0013 Co
0.0000 4.5021 1.0010 Co
0.0000 1.0010 2.5002 Co
0.0000 3.5011 3.5011 Sb
0.0000 0.0000 0.0000 Sb
```

Calculated values
raw total energy: -6.461 eV/atom
Fermi-level density of states: 5.11 states/eV/cell
spin magnetization: 0.00 μB per formula unit
uncorrected formation energy: -0.16 eV/atom

***

Entry 3:
This record from Alexandria via LeMat-Bulk describes crystalline Co2SiSb at its relaxed geometry. The functional is GGA-PBEsol.

Geometry as POSCAR:
```
Co2SiSb
1.0
-3.6525 2.1891 -0.2797
-3.5910 -1.9825 -1.1773
-3.1064 -0.6592 2.8508
Co Si Sb
2 1 1
Cartesian
0.0000 0.0000 0.0000 Co
-2.5875 -0.1132 0.3485 Co
-7.7624 -0.3395 1.0454 Si
-5.1749 -0.2263 0.6969 Sb
```

Calculated values
raw total energy: -5.970 eV/atom
Fermi-level density of states: 4.09 states/eV/cell
spin magnetization: 0.00 μB per formula unit
polymorph energy (0 for the lowest one): 592 meV/atom
uncorrected formation energy: 0.47 eV/atom

***

Entry 4:
This record from Alexandria via LeMat-Bulk describes crystalline CoSiSbTe2 at its relaxed geometry. The functional is GGA-PBEsol.

Geometry as POSCAR:
```
CoSiSbTe2
1.0
-0.6001 -4.5552 0.7327
3.5071 0.1230 3.6369
-3.5801 1.0214 3.4178
Te Si Sb Co
2 1 1 1
Cartesian
1.7535 0.0615 1.8184 Te
-1.7900 0.5107 1.7089 Te
-0.3365 -1.7054 3.8937 Si
-0.3000 -2.2776 0.3663 Sb
0.0000 0.0000 0.0000 Co
```

Calculated values
raw total energy: -4.453 eV/atom
Fermi-level density of states: 5.28 states/eV/cell
spin magnetization: 0.00 μB per formula unit
uncorrected formation energy: 0.57 eV/atom

***

Entry 5:
This record from Alexandria via LeMat-Bulk describes crystalline SrCo3Sb at its relaxed geometry. The functional is GGA-PBEsol.

Geometry as POSCAR:
```
SrCo3Sb
1.0
4.7214 0.0000 0.0000
0.0000 4.7214 0.0000
0.0000 0.0000 4.7214
Co Sr Sb
3 1 1
Cartesian
0.0000 0.0000 2.3607 Co
0.0000 2.3607 0.0000 Co
2.3607 0.0000 0.0000 Co
2.3607 2.3607 2.3607 Sr
0.0000 0.0000 0.0000 Sb
```

Calculated values
raw total energy: -5.234 eV/atom
Fermi-level density of states: 9.17 states/eV/cell
spin magnetization: 3.89 μB per formula unit
uncorrected formation energy: 0.69 eV/atom

***

Entry 6:
This record from Alexandria via LeMat-Bulk describes crystalline Ta3CoSb at its relaxed geometry. The functional is GGA-PBEsol.

Geometry as POSCAR:
```
Ta3CoSb
1.0
-0.9928 -2.9855 3.7754
4.7239 -1.3435 0.1798
0.9228 3.6652 3.1411
Sb Ta Co
1 3 1
Cartesian
0.0000 0.0000 0.0000 Sb
0.4614 1.8326 1.5706 Ta
-0.4964 -1.4928 1.8877 Ta
2.3619 -0.6717 0.0899 Ta
2.3270 -0.3319 3.5482 Co
```

Calculated values
raw total energy: -7.649 eV/atom
Fermi-level density of states: 6.34 states/eV/cell
spin magnetization: 1.88 μB per formula unit
uncorrected formation energy: 2.34 eV/atom